Here is a PBEsol-optimized structure of AlTcW2 from Alexandria via LeMat-Bulk. Energies are from SCAN.

Lattice parameters (Å, degrees): 2.708 2.708 8.762 90.00 90.00 110.76
Positions (direct):
Tc 0.500 0.500 0.000
W 0.000 0.000 0.248
W 0.000 0.000 0.752
Al 0.500 0.500 0.500

The calculation puts the formation energy at 43 meV/atom. The density of states at the Fermi level comes out at 2.545 states/eV/f.u. As for the space-group type: Cmmm, No. 65. The value obtained for the total energy is -45.504 eV per atom.